# InCo2TeO6 PBE with a Hubbard U relaxed
data_InCo2TeO6
_chemical_formula_sum 'In3 Co6 Te3 O18'
_space_group_name_H-M_alt 'R 3'
_space_group_IT_number 146
_space_group_name_Hall 'R 3'
_cell_length_a 5.3819
_cell_length_b 5.3819
_cell_length_c 13.8790
_cell_angle_alpha 90.00
_cell_angle_beta 90.00
_cell_angle_gamma 120.00
loop_
_atom_site_label
_atom_site_type_symbol
_atom_site_fract_x
_atom_site_fract_y
_atom_site_fract_z
In1 In 0.0000 0.0000 0.0000
Co1 Co 0.0000 0.0000 0.2717
Co2 Co 0.0000 0.0000 0.7925
Te1 Te 0.0000 0.0000 0.4897
O1 O 0.0197 0.6252 0.0543
O2 O 0.0348 0.4085 0.5437
# Total magnetization ... 0.29 μB per atom
# Total DFT energy (no corrections) ... -5.6404 eV/atom